(1)
This record from Alexandria describes Li2Mg3Cd3Ag after structural relaxation. The functional is GGA-PBE.

D(E_F)	4.31	states/eV per cell
calculated volume	19.68	A^3/atom
E_form	-0.1634	eV per atom

The structure in CIF format:
```
data_Li2Mg3Cd3Ag
_chemical_formula_sum 'Li2 Mg3 Cd3 Ag1'
_symmetry_space_group_name_H-M 'P -6 2 m'
_symmetry_Int_Tables_number 189
_symmetry_space_group_name_Hall 'P -6 -2'
_cell_length_a 8.2143
_cell_length_b 8.2143
_cell_length_c 3.0306
_cell_angle_alpha 90.00
_cell_angle_beta 90.00
_cell_angle_gamma 120.00
loop_
_atom_site_label
_atom_site_type_symbol
_atom_site_fract_x
_atom_site_fract_y
_atom_site_fract_z
Li1 Li 0.3333 0.6667 0.0000
Mg1 Mg 0.0000 0.7024 0.0000
Cd1 Cd 0.0000 0.3687 0.5000
Ag1 Ag 0.0000 0.0000 0.5000
```

***

(2)
This record from Alexandria describes Tb4InAg2Pt after structural relaxation. The functional is GGA-PBE.

D(E_F)	18.61	states/eV per cell
calculated volume	24.16	A^3/atom
E_form	-0.6048	eV per atom

The structure in CIF format:
```
data_Tb4InAg2Pt
_chemical_formula_sum 'Tb12 In3 Ag6 Pt3'
_symmetry_space_group_name_H-M 'R -3 m'
_symmetry_Int_Tables_number 166
_symmetry_space_group_name_Hall '-R 3 2"'
_cell_length_a 5.1522
_cell_length_b 5.1522
_cell_length_c 25.2219
_cell_angle_alpha 90.00
_cell_angle_beta 90.00
_cell_angle_gamma 120.00
loop_
_atom_site_label
_atom_site_type_symbol
_atom_site_fract_x
_atom_site_fract_y
_atom_site_fract_z
Tb1 Tb 0.0000 0.0000 0.1162
Tb2 Tb 0.0000 0.0000 0.3686
In1 In 0.0000 0.0000 0.5000
Ag1 Ag 0.0000 0.0000 0.2401
Pt1 Pt 0.0000 0.0000 0.0000
```

***

(3)
This record from Alexandria describes SiTc6C after structural relaxation. The functional is GGA-PBE.

D(E_F)	6.51	states/eV per cell
E_form (uncorrected)	0.205	eV/atom
calculated volume	14.30	A^3/atom

The structure in CIF format:
```
data_SiTc6C
_chemical_formula_sum 'Si1 Tc6 C1'
_symmetry_space_group_name_H-M 'P -1'
_symmetry_Int_Tables_number 2
_symmetry_space_group_name_Hall '-P 1'
_cell_length_a 4.827
_cell_length_b 5.315
_cell_length_c 5.390
_cell_angle_alpha 60.79
_cell_angle_beta 86.30
_cell_angle_gamma 72.28
loop_
_atom_site_label
_atom_site_type_symbol
_atom_site_fract_x
_atom_site_fract_y
_atom_site_fract_z
Si1 Si 0.000 0.000 0.000
Tc1 Tc 0.104 0.416 0.316
Tc2 Tc 0.309 0.728 0.791
Tc3 Tc 0.478 0.218 0.755
C1 C 0.500 0.000 0.500
```

***

(4)
This record from Alexandria describes SnAu2I6 after structural relaxation. The functional is GGA-PBE.

E_form (uncorrected)	-0.135	eV/atom
calculated volume	44.76	A^3/atom

The structure in CIF format:
```
data_SnAu2I6
_chemical_formula_sum 'Sn2 Au4 I12'
_symmetry_space_group_name_H-M 'P 1 21/c 1'
_symmetry_Int_Tables_number 14
_symmetry_space_group_name_Hall '-P 2ybc'
_cell_length_a 6.526
_cell_length_b 14.754
_cell_length_c 8.385
_cell_angle_alpha 90.00
_cell_angle_beta 93.73
_cell_angle_gamma 90.00
loop_
_atom_site_label
_atom_site_type_symbol
_atom_site_fract_x
_atom_site_fract_y
_atom_site_fract_z
Sn1 Sn 0.000 0.000 0.000
Au1 Au 0.346 0.098 0.992
I1 I 0.254 0.052 0.296
I2 I 0.258 0.666 0.447
I3 I 0.260 0.144 0.691
```